NaGe2WO8 | PBE+U | optimized geometry

a b c (Å): 4.654 4.654 6.187
angles (deg): 90.00 90.00 92.18
Sites, in units of the cell vectors:
Na 0.000 0.000 0.000
Ge 0.500 0.500 0.257
Ge 0.500 0.500 0.743
W 0.000 0.000 0.500
O 0.210 0.210 0.282
O 0.210 0.210 0.718
O 0.305 0.695 0.500
O 0.339 0.661 0.000
O 0.661 0.339 0.000
O 0.695 0.305 0.500
O 0.790 0.790 0.282
O 0.790 0.790 0.718

Values from the calculation:
E_tot: -75.81 eV per cell
symmetry: Cmmm